# 1
A relaxed GaRh3F crystal. Source: the Alexandria database, functional PBE.

Uncorrected formation energy   0.50 eV per atom
SG   Pm-3m (221)
DOS(E_F)   6.70 states/eV per cell
Size of the total moment   2.08 μB per formula unit
Calculated total energy   -24.46 eV per cell

Unit cell a=4.2457 b=4.2457 c=4.2457 alpha=90.00 beta=90.00 gamma=90.00
Last column: nearest neighbours and their distance in Å.
Fractional positions:
Rh (0.0000, 0.5000, 0.0000)  2 F 2.12
Rh (0.5000, 0.0000, 0.0000)  2 F 2.12
Rh (0.0000, 0.0000, 0.5000)  2 F 2.12
Ga (0.5000, 0.5000, 0.5000)  12 Rh 3.00
F (0.0000, 0.0000, 0.0000)  6 Rh 2.12

# 2
A relaxed GaRh2F crystal. Source: the Alexandria database, functional PBE.

Uncorrected formation energy   -0.17 eV per atom
SG   I-42d (122)
DOS(E_F)   7.39 states/eV per cell
Size of the total moment   1.32 μB per formula unit
Calculated total energy   -40.55 eV per cell

Unit cell a=6.6756 b=6.6756 c=5.3998 alpha=51.82 beta=51.82 gamma=90.00
Last column: nearest neighbours and their distance in Å.
Fractional positions:
Rh (0.3750, 0.3827, 0.7500)  2 F 2.41, 2 Ga 2.48, 2 Rh 2.62
Rh (0.6173, 0.1250, 0.2500)  2 F 2.41, 2 Ga 2.48, 2 Rh 2.62
Rh (0.1327, 0.6250, 0.2500)  2 F 2.41, 2 Ga 2.48, 2 Rh 2.62
Rh (0.8750, 0.8673, 0.7500)  2 F 2.41, 2 Ga 2.48, 2 Rh 2.62
Ga (0.7500, 0.2500, 0.5000)  4 Rh 2.48, 2 F 2.62
Ga (0.0000, 0.0000, 0.0000)  4 Rh 2.48, 2 F 2.62
F (0.2500, 0.7500, 0.5000)  4 Rh 2.41, 2 Ga 2.62
F (0.5000, 0.5000, 0.0000)  4 Rh 2.41, 2 Ga 2.62

# 3
A relaxed GaRhF3 crystal. Source: the Alexandria database, functional PBE.

Uncorrected formation energy   -1.21 eV per atom
SG   Pm-3m (221)
DOS(E_F)   1.40 states/eV per cell
Size of the total moment   0.69 μB per formula unit
Calculated total energy   -22.06 eV per cell

Unit cell a=4.2488 b=4.2488 c=4.2488 alpha=90.00 beta=90.00 gamma=90.00
Last column: nearest neighbours and their distance in Å.
Fractional positions:
F (0.5000, 0.0000, 0.0000)  2 Rh 2.12
F (0.0000, 0.5000, 0.0000)  2 Rh 2.12
F (0.0000, 0.0000, 0.5000)  2 Rh 2.12
Ga (0.5000, 0.5000, 0.5000)  12 F 3.00
Rh (0.0000, 0.0000, 0.0000)  6 F 2.12

# 4
A relaxed Ga2RhF crystal. Source: the Alexandria database, functional PBE.

Uncorrected formation energy   -0.61 eV per atom
SG   Fm-3m (225)
DOS(E_F)   1.52 states/eV per cell
Size of the total moment   0.00 μB per formula unit
Calculated total energy   -17.73 eV per cell

Unit cell a=4.3302 b=4.3302 c=4.3302 alpha=60.00 beta=60.00 gamma=60.00
Last column: nearest neighbours and their distance in Å.
Fractional positions:
Rh (0.5000, 0.5000, 0.5000)  8 Ga 2.65
Ga (0.2500, 0.2500, 0.2500)  4 F 2.65, 4 Rh 2.65
Ga (0.7500, 0.7500, 0.7500)  4 F 2.65, 4 Rh 2.65
F (0.0000, 0.0000, 0.0000)  8 Ga 2.65

# 5
A relaxed GaRh3F crystal. Source: the Alexandria database, functional PBE.

Uncorrected formation energy   0.89 eV per atom
SG   Pm-3m (221)
DOS(E_F)   8.16 states/eV per cell
Size of the total moment   3.14 μB per formula unit
Calculated total energy   -22.51 eV per cell

Unit cell a=4.6380 b=4.6380 c=4.6380 alpha=90.00 beta=90.00 gamma=90.00
Last column: nearest neighbours and their distance in Å.
Fractional positions:
Ga (0.0000, 0.0000, 0.0000)  6 Rh 2.32
Rh (0.0000, 0.0000, 0.5000)  2 Ga 2.32
Rh (0.5000, 0.0000, 0.0000)  2 Ga 2.32
Rh (0.0000, 0.5000, 0.0000)  2 Ga 2.32
F (0.5000, 0.5000, 0.5000)  12 Rh 3.28

# 6
A relaxed GaRhF2 crystal. Source: the Alexandria database, functional PBE.

Uncorrected formation energy   -0.90 eV per atom
SG   I-42d (122)
DOS(E_F)   10.05 states/eV per cell
Size of the total moment   0.72 μB per formula unit
Calculated total energy   -35.46 eV per cell

Unit cell a=3.7068 b=3.7068 c=8.0323 alpha=76.66 beta=76.66 gamma=90.00
Last column: nearest neighbours and their distance in Å.
Fractional positions:
F (0.3750, 0.3692, 0.7500)  2 Rh 2.30, 2 Ga 2.32
F (0.6308, 0.1250, 0.2500)  2 Rh 2.30, 2 Ga 2.32
F (0.1192, 0.6250, 0.2500)  2 Rh 2.30, 2 Ga 2.32
F (0.8750, 0.8808, 0.7500)  2 Rh 2.30, 2 Ga 2.32
Rh (0.7500, 0.2500, 0.5000)  4 F 2.30
Rh (0.0000, 0.0000, 0.0000)  4 F 2.30
Ga (0.5000, 0.5000, 0.0000)  4 F 2.32
Ga (0.2500, 0.7500, 0.5000)  4 F 2.32

What did the fifth record say?
A relaxed GaRh3F crystal. Source: the Alexandria database, functional PBE.

Uncorrected formation energy   0.89 eV per atom
SG   Pm-3m (221)
DOS(E_F)   8.16 states/eV per cell
Size of the total moment   3.14 μB per formula unit
Calculated total energy   -22.51 eV per cell

Unit cell a=4.6380 b=4.6380 c=4.6380 alpha=90.00 beta=90.00 gamma=90.00
Last column: nearest neighbours and their distance in Å.
Fractional positions:
Ga (0.0000, 0.0000, 0.0000)  6 Rh 2.32
Rh (0.0000, 0.0000, 0.5000)  2 Ga 2.32
Rh (0.5000, 0.0000, 0.0000)  2 Ga 2.32
Rh (0.0000, 0.5000, 0.0000)  2 Ga 2.32
F (0.5000, 0.5000, 0.5000)  12 Rh 3.28

Q: What is the formula in the sixth record?
A: GaRhF2

Q: What is the DOS(E_F) in the fifth record?
A: 8.16 states/eV per cell